Density functional theory data (GGA+U) for a relaxed structure of BeV2O4.

Output
E_tot = -0.5628 Ry per atom
Crystal system = tetragonal

Cell and atoms, written as CIF:
```
data_BeV2O4
_chemical_formula_sum 'Be4 V8 O16'
_space_group_name_H-M_alt 'I 41/a'
_space_group_IT_number 88
_cell_length_a 5.7797
_cell_length_b 5.7797
_cell_length_c 8.0679
_cell_angle_alpha 90.00
_cell_angle_beta 90.00
_cell_angle_gamma 90.00
loop_
_space_group_symop_operation_xyz
'x,y,z'
'-x,-y,-z'
'-y+3/4,x+1/4,z+1/4'
'y+3/4,-x+1/4,-z+1/4'
'-x+1/2,-y,z+1/2'
'x+1/2,y,-z+1/2'
'y+3/4,-x+3/4,z+3/4'
'-y+3/4,x+3/4,-z+3/4'
'x+1/2,y+1/2,z+1/2'
'-x+1/2,-y+1/2,-z+1/2'
'-y+1/4,x+3/4,z+3/4'
'y+1/4,-x+3/4,-z+3/4'
'-x,-y+1/2,z'
'x,y+1/2,-z'
'y+1/4,-x+1/4,z+1/4'
'-y+1/4,x+1/4,-z+1/4'
loop_
_atom_site_label
_atom_site_fract_x
_atom_site_fract_y
_atom_site_fract_z
Be1 0.0000 0.2500 0.1250
V1 0.0000 0.0000 0.5000
O1 0.0055 0.0030 0.2480
```